{
  "formula": "Cs2NdW3O12",
  "functional": "PBE with a Hubbard U",
  "state": "optimized geometry",
  "cell": [[3.775, 2.180, 6.465], [-3.775, 2.180, 6.465], [0.000, -4.360, 6.465]],
  "species": ["Cs", "Cs", "Nd", "W", "W", "W", "O", "O", "O", "O", "O", "O", "O", "O", "O", "O", "O", "O"],
  "frac_coords": [[0.124, 0.124, 0.124], [0.876, 0.876, 0.876], [0.500, 0.500, 0.500], [0.000, 0.500, 0.500], [0.500, 0.000, 0.500], [0.500, 0.500, 0.000], [0.134, 0.579, 0.579], [0.203, 0.203, 0.569], [0.203, 0.569, 0.203], [0.421, 0.421, 0.866], [0.421, 0.866, 0.421], [0.431, 0.797, 0.797], [0.569, 0.203, 0.203], [0.579, 0.134, 0.579], [0.579, 0.579, 0.134], [0.797, 0.431, 0.797], [0.797, 0.797, 0.431], [0.866, 0.421, 0.421]],
  "vol_a3_per_cell": 319,
  "energy_ev_per_atom": -7.03,
  "total_magnetization_mub_per_fu": 0.932
}